The following is a DFT calculation (GGA-PBE) of a geometry-optimized YTlIn2N structure.

## Properties
E_form (uncorrected) = 1752 meV per atom
Calculated volume = 40.90 Å³/atom

```
data_YTlIn2N
_chemical_formula_sum 'Y1 Tl1 In2 N1'
_cell_length_a 5.889
_cell_length_b 5.889
_cell_length_c 5.896
_cell_angle_alpha 90.00
_cell_angle_beta 90.00
_cell_angle_gamma 90.00
_space_group_name_H-M_alt 'P 4/m m m'
_space_group_IT_number 123
_space_group_name_Hall '-P 4 2'
loop_
_atom_site_label
_atom_site_fract_x
_atom_site_fract_y
_atom_site_fract_z
Y1 0.000 0.000 0.000
Tl1 0.000 0.000 0.500
In1 0.000 0.500 0.000
N1 0.500 0.500 0.500
```


The following is a DFT calculation (GGA-PBE) of a geometry-optimized TmInN2 structure.

## Properties
E_form (uncorrected) = -777 meV per atom
Calculated volume = 13.45 Å³/atom

```
data_TmInN2
_chemical_formula_sum 'Tm3 In3 N6'
_cell_length_a 3.4042
_cell_length_b 3.4042
_cell_length_c 16.0821
_cell_angle_alpha 90.00
_cell_angle_beta 90.00
_cell_angle_gamma 120.00
_space_group_name_H-M_alt 'R -3 m'
_space_group_IT_number 166
_space_group_name_Hall '-R 3 2"'
loop_
_atom_site_label
_atom_site_fract_x
_atom_site_fract_y
_atom_site_fract_z
Tm1 0.0000 0.0000 0.0000
In1 0.0000 0.0000 0.5000
N1 0.0000 0.0000 0.2512
```


The following is a DFT calculation (GGA-PBE) of a geometry-optimized Tm2InN structure.

## Properties
E_form (uncorrected) = -1080 meV per atom
Calculated volume = 20.24 Å³/atom

```
data_Tm2InN
_chemical_formula_sum 'Tm6 In3 N3'
_cell_length_a 3.4710
_cell_length_b 3.4710
_cell_length_c 23.2812
_cell_angle_alpha 90.00
_cell_angle_beta 90.00
_cell_angle_gamma 120.00
_space_group_name_H-M_alt 'R -3 m'
_space_group_IT_number 166
_space_group_name_Hall '-R 3 2"'
loop_
_atom_site_label
_atom_site_fract_x
_atom_site_fract_y
_atom_site_fract_z
Tm1 0.0000 0.0000 0.2229
In1 0.0000 0.0000 0.0000
N1 0.0000 0.0000 0.5000
```


The following is a DFT calculation (GGA-PBE) of a geometry-optimized Tm3InN4 structure.

## Properties
E_form (uncorrected) = -1279 meV per atom
Calculated volume = 13.79 Å³/atom

```
data_Tm3InN4
_chemical_formula_sum 'Tm3 In1 N4'
_cell_length_a 4.796
_cell_length_b 4.796
_cell_length_c 4.796
_cell_angle_alpha 90.00
_cell_angle_beta 90.00
_cell_angle_gamma 90.00
_space_group_name_H-M_alt 'P m -3 m'
_space_group_IT_number 221
_space_group_name_Hall '-P 4 2 3'
loop_
_atom_site_label
_atom_site_fract_x
_atom_site_fract_y
_atom_site_fract_z
Tm1 0.000 0.000 0.500
In1 0.500 0.500 0.500
N1 0.000 0.000 0.000
N2 0.000 0.500 0.500
```


The following is a DFT calculation (GGA-PBE) of a geometry-optimized Tm3InN structure.

## Properties
E_form (uncorrected) = -1021 meV per atom
Calculated volume = 21.22 Å³/atom

```
data_Tm3InN
_chemical_formula_sum 'Tm3 In1 N1'
_cell_length_a 4.734
_cell_length_b 4.734
_cell_length_c 4.734
_cell_angle_alpha 90.00
_cell_angle_beta 90.00
_cell_angle_gamma 90.00
_space_group_name_H-M_alt 'P m -3 m'
_space_group_IT_number 221
_space_group_name_Hall '-P 4 2 3'
loop_
_atom_site_label
_atom_site_fract_x
_atom_site_fract_y
_atom_site_fract_z
Tm1 0.000 0.000 0.500
In1 0.500 0.500 0.500
N1 0.000 0.000 0.000
```


The following is a DFT calculation (GGA-PBE) of a geometry-optimized Y2TmInN4 structure.

## Properties
E_form (uncorrected) = -1216 meV per atom
Calculated volume = 14.23 Å³/atom

```
data_Y2TmInN4
_chemical_formula_sum 'Y2 Tm1 In1 N4'
_cell_length_a 5.937
_cell_length_b 3.436
_cell_length_c 5.952
_cell_angle_alpha 90.00
_cell_angle_beta 110.37
_cell_angle_gamma 90.00
_space_group_name_H-M_alt 'P 1 2/m 1'
_space_group_IT_number 10
loop_
_space_group_symop_operation_xyz
'x,y,z'
'-x,-y,-z'
'-x,y,-z'
'x,-y,z'
loop_
_atom_site_label
_atom_site_fract_x
_atom_site_fract_y
_atom_site_fract_z
Y1 0.000 0.000 0.000
Y2 0.000 0.500 0.500
Tm1 0.500 0.000 0.500
In1 0.500 0.500 0.000
N1 0.248 0.500 0.259
N2 0.253 0.000 0.749
```


The following is a DFT calculation (GGA-PBE) of a geometry-optimized VInN3 structure.

## Properties
E_form (uncorrected) = 1934 meV per atom
Calculated volume = 14.23 Å³/atom

```
data_VInN3
_chemical_formula_sum 'V1 In1 N3'
_cell_length_a 4.143
_cell_length_b 4.143
_cell_length_c 4.143
_cell_angle_alpha 90.00
_cell_angle_beta 90.00
_cell_angle_gamma 90.00
_space_group_name_H-M_alt 'P m -3 m'
_space_group_IT_number 221
_space_group_name_Hall '-P 4 2 3'
loop_
_atom_site_label
_atom_site_fract_x
_atom_site_fract_y
_atom_site_fract_z
V1 0.000 0.000 0.000
In1 0.500 0.500 0.500
N1 0.000 0.500 0.500
```


The following is a DFT calculation (GGA-PBE) of a geometry-optimized VIn2N structure.

## Properties
E_form (uncorrected) = 1233 meV per atom
Calculated volume = 17.86 Å³/atom

```
data_VIn2N
_chemical_formula_sum 'V4 In8 N4'
_cell_length_a 6.587
_cell_length_b 6.587
_cell_length_c 6.587
_cell_angle_alpha 90.00
_cell_angle_beta 90.00
_cell_angle_gamma 90.00
_space_group_name_H-M_alt 'F m -3 m'
_space_group_IT_number 225
_space_group_name_Hall '-F 4 2 3'
loop_
_atom_site_label
_atom_site_fract_x
_atom_site_fract_y
_atom_site_fract_z
V1 0.000 0.000 0.000
In1 0.250 0.250 0.250
N1 0.000 0.000 0.500
```


The following is a DFT calculation (GGA-PBE) of a geometry-optimized VInN2 structure.

## Properties
E_form (uncorrected) = 686 meV per atom
Calculated volume = 10.80 Å³/atom

```
data_VInN2
_chemical_formula_sum 'V4 In4 N8'
_cell_length_a 5.570
_cell_length_b 5.570
_cell_length_c 5.570
_cell_angle_alpha 90.00
_cell_angle_beta 90.00
_cell_angle_gamma 90.00
_space_group_name_H-M_alt 'F m -3 m'
_space_group_IT_number 225
_space_group_name_Hall '-F 4 2 3'
loop_
_atom_site_label
_atom_site_fract_x
_atom_site_fract_y
_atom_site_fract_z
V1 0.000 0.000 0.000
In1 0.000 0.000 0.500
N1 0.250 0.250 0.250
```


The following is a DFT calculation (GGA-PBE) of a geometry-optimized VInN2 structure.

## Properties
E_form (uncorrected) = -242 meV per atom
Calculated volume = 12.48 Å³/atom

```
data_VInN2
_chemical_formula_sum 'V3 In3 N6'
_cell_length_a 2.9433
_cell_length_b 2.9433
_cell_length_c 19.9691
_cell_angle_alpha 90.00
_cell_angle_beta 90.00
_cell_angle_gamma 120.00
_space_group_name_H-M_alt 'R -3 m'
_space_group_IT_number 166
_space_group_name_Hall '-R 3 2"'
loop_
_atom_site_label
_atom_site_fract_x
_atom_site_fract_y
_atom_site_fract_z
V1 0.0000 0.0000 0.0000
In1 0.0000 0.0000 0.5000
N1 0.0000 0.0000 0.3865
```


The following is a DFT calculation (GGA-PBE) of a geometry-optimized VIn3N structure.

## Properties
E_form (uncorrected) = 1396 meV per atom
Calculated volume = 30.43 Å³/atom

```
data_VIn3N
_chemical_formula_sum 'V1 In3 N1'
_cell_length_a 5.338
_cell_length_b 5.338
_cell_length_c 5.338
_cell_angle_alpha 90.00
_cell_angle_beta 90.00
_cell_angle_gamma 90.00
_space_group_name_H-M_alt 'P m -3 m'
_space_group_IT_number 221
_space_group_name_Hall '-P 4 2 3'
loop_
_atom_site_label
_atom_site_fract_x
_atom_site_fract_y
_atom_site_fract_z
V1 0.000 0.000 0.000
In1 0.000 0.000 0.500
N1 0.500 0.500 0.500
```


The following is a DFT calculation (GGA-PBE) of a geometry-optimized VInN2 structure.

## Properties
E_form (uncorrected) = -275 meV per atom
Calculated volume = 16.43 Å³/atom

```
data_VInN2
_chemical_formula_sum 'V4 In4 N8'
_cell_length_a 5.623
_cell_length_b 5.623
_cell_length_c 8.314
_cell_angle_alpha 90.00
_cell_angle_beta 90.00
_cell_angle_gamma 90.00
_space_group_name_H-M_alt 'I -4 2 d'
_space_group_IT_number 122
_space_group_name_Hall 'I -4 2bw'
loop_
_atom_site_label
_atom_site_fract_x
_atom_site_fract_y
_atom_site_fract_z
V1 0.000 0.000 0.000
In1 0.000 0.000 0.500
N1 0.085 0.250 0.125
```


The following is a DFT calculation (GGA-PBE) of a geometry-optimized VIn3N structure.

## Properties
E_form (uncorrected) = 792 meV per atom
Calculated volume = 20.37 Å³/atom

```
data_VIn3N
_chemical_formula_sum 'V1 In3 N1'
_cell_length_a 4.670
_cell_length_b 4.670
_cell_length_c 4.670
_cell_angle_alpha 90.00
_cell_angle_beta 90.00
_cell_angle_gamma 90.00
_space_group_name_H-M_alt 'P m -3 m'
_space_group_IT_number 221
_space_group_name_Hall '-P 4 2 3'
loop_
_atom_site_label
_atom_site_fract_x
_atom_site_fract_y
_atom_site_fract_z
V1 0.000 0.000 0.000
In1 0.000 0.500 0.500
N1 0.500 0.500 0.500
```


The following is a DFT calculation (GGA-PBE) of a geometry-optimized VIn2N structure.

## Properties
E_form (uncorrected) = 273 meV per atom
Calculated volume = 21.15 Å³/atom

```
data_VIn2N
_chemical_formula_sum 'V4 In8 N4'
_cell_length_a 9.497
_cell_length_b 9.497
_cell_length_c 3.753
_cell_angle_alpha 90.00
_cell_angle_beta 90.00
_cell_angle_gamma 90.00
_space_group_name_H-M_alt 'I -4 2 d'
_space_group_IT_number 122
_space_group_name_Hall 'I -4 2bw'
loop_
_atom_site_label
_atom_site_fract_x
_atom_site_fract_y
_atom_site_fract_z
V1 0.000 0.000 0.000
In1 0.106 0.250 0.625
N1 0.000 0.000 0.500
```


The following is a DFT calculation (GGA-PBE) of a geometry-optimized VInN3 structure.

## Properties
E_form (uncorrected) = 481 meV per atom
Calculated volume = 11.56 Å³/atom

```
data_VInN3
_chemical_formula_sum 'V1 In1 N3'
_cell_length_a 3.866
_cell_length_b 3.866
_cell_length_c 3.866
_cell_angle_alpha 90.00
_cell_angle_beta 90.00
_cell_angle_gamma 90.00
_space_group_name_H-M_alt 'P m -3 m'
_space_group_IT_number 221
_space_group_name_Hall '-P 4 2 3'
loop_
_atom_site_label
_atom_site_fract_x
_atom_site_fract_y
_atom_site_fract_z
V1 0.000 0.000 0.000
In1 0.500 0.500 0.500
N1 0.000 0.000 0.500
```


The following is a DFT calculation (GGA-PBE) of a geometry-optimized VInN2 structure.

## Properties
E_form (uncorrected) = 456 meV per atom
Calculated volume = 14.63 Å³/atom

```
data_VInN2
_chemical_formula_sum 'V3 In3 N6'
_cell_length_a 3.3492
_cell_length_b 3.3492
_cell_length_c 18.0717
_cell_angle_alpha 90.00
_cell_angle_beta 90.00
_cell_angle_gamma 120.00
_space_group_name_H-M_alt 'R -3 m'
_space_group_IT_number 166
_space_group_name_Hall '-R 3 2"'
loop_
_atom_site_label
_atom_site_fract_x
_atom_site_fract_y
_atom_site_fract_z
V1 0.0000 0.0000 0.0000
In1 0.0000 0.0000 0.5000
N1 0.0000 0.0000 0.1002
```


The following is a DFT calculation (GGA-PBE) of a geometry-optimized Y2VInN structure.

## Properties
E_form (uncorrected) = -783 meV per atom
Calculated volume = 19.53 Å³/atom

```
data_Y2VInN
_chemical_formula_sum 'Y2 V1 In1 N1'
_cell_length_a 4.956
_cell_length_b 4.956
_cell_length_c 3.977
_cell_angle_alpha 90.00
_cell_angle_beta 90.00
_cell_angle_gamma 90.00
_space_group_name_H-M_alt 'P 4/m m m'
_space_group_IT_number 123
_space_group_name_Hall '-P 4 2'
loop_
_atom_site_label
_atom_site_fract_x
_atom_site_fract_y
_atom_site_fract_z
Y1 0.000 0.500 0.000
V1 0.000 0.000 0.500
In1 0.500 0.500 0.500
N1 0.000 0.000 0.000
```


The following is a DFT calculation (GGA-PBE) of a geometry-optimized Zr2VInN structure.

## Properties
E_form (uncorrected) = -744 meV per atom
Calculated volume = 16.80 Å³/atom

```
data_Zr2VInN
_chemical_formula_sum 'Zr2 V1 In1 N1'
_cell_length_a 4.643
_cell_length_b 4.643
_cell_length_c 3.895
_cell_angle_alpha 90.00
_cell_angle_beta 90.00
_cell_angle_gamma 90.00
_space_group_name_H-M_alt 'P 4/m m m'
_space_group_IT_number 123
_space_group_name_Hall '-P 4 2'
loop_
_atom_site_label
_atom_site_fract_x
_atom_site_fract_y
_atom_site_fract_z
Zr1 0.000 0.500 0.000
V1 0.000 0.000 0.500
In1 0.500 0.500 0.500
N1 0.000 0.000 0.000
```


The following is a DFT calculation (GGA-PBE) of a geometry-optimized In3WN structure.

## Properties
E_form (uncorrected) = 1637 meV per atom
Calculated volume = 30.58 Å³/atom

```
data_In3WN
_chemical_formula_sum 'In3 W1 N1'
_cell_length_a 5.347
_cell_length_b 5.347
_cell_length_c 5.347
_cell_angle_alpha 90.00
_cell_angle_beta 90.00
_cell_angle_gamma 90.00
_space_group_name_H-M_alt 'P m -3 m'
_space_group_IT_number 221
_space_group_name_Hall '-P 4 2 3'
loop_
_atom_site_label
_atom_site_fract_x
_atom_site_fract_y
_atom_site_fract_z
In1 0.000 0.000 0.500
W1 0.000 0.000 0.000
N1 0.500 0.500 0.500
```


The following is a DFT calculation (GGA-PBE) of a geometry-optimized InW2N structure.

## Properties
E_form (uncorrected) = 1644 meV per atom
Calculated volume = 14.95 Å³/atom

```
data_InW2N
_chemical_formula_sum 'In4 W8 N4'
_cell_length_a 6.208
_cell_length_b 6.208
_cell_length_c 6.208
_cell_angle_alpha 90.00
_cell_angle_beta 90.00
_cell_angle_gamma 90.00
_space_group_name_H-M_alt 'F m -3 m'
_space_group_IT_number 225
_space_group_name_Hall '-F 4 2 3'
loop_
_atom_site_label
_atom_site_fract_x
_atom_site_fract_y
_atom_site_fract_z
In1 0.000 0.000 0.000
W1 0.250 0.250 0.250
N1 0.000 0.000 0.500
```